VASP calculation (PBE+U) on an optimized crystal structure of K2Mo2O5.

Values from the calculation:
Space group: Ima2
DFT total energy, eV/atom: -6.128
Volume, A^3/atom: 15.441

Cell lengths 9.0084, 9.0084, 9.0084 Å; angles 55.18, 141.40, 142.13 degrees
Closest atoms and distances in Å follow each position.
Element x y z (fractional)
K 0.0196 0.1076 0.1272  7 O 2.60-2.87
K 0.0196 0.3924 0.4120  7 O 2.60-2.87
K 0.9804 0.6076 0.5880  7 O 2.60-2.87
K 0.9804 0.8924 0.8728  7 O 2.60-2.87
Mo 0.3809 0.6949 0.1861  4 O 1.91-2.02
Mo 0.5088 0.1949 0.8139  4 O 1.91-2.02
Mo 0.5142 0.0142 0.5000  6 O 2.07-2.21
Mo 0.5142 0.5142 0.0000  6 O 2.07-2.21
O 0.0095 0.2667 0.7593  2 Mo 2.07-2.11
O 0.0095 0.7502 0.2428  2 Mo 2.07-2.11
O 0.2803 0.8805 0.8998  2 Mo 1.91-2.02
O 0.4772 0.1542 0.5988  1 Mo 1.94
O 0.4772 0.3784 0.8230  1 Mo 1.94
O 0.5074 0.2502 0.2407  2 Mo 2.07-2.11
O 0.5074 0.7667 0.7572  2 Mo 2.07-2.11
O 0.5554 0.6542 0.1770  1 Mo 1.94
O 0.5554 0.8784 0.4012  1 Mo 1.94
O 0.9806 0.3805 0.1002  2 Mo 1.91-2.02